Record 1
The following is a PBE calculation of a relaxed structure of KBaCo2, from Alexandria.

Calculated values
Energy above the lowest structure with this stoichiometry, meV/atom: 395
DFT formation energy, eV per atom: 0.804
Mass density, g cm⁻³: 3.54
Volume, Å³ per cell: 137.9
Final energy, eV/atom: -3.5036

```
data_KBaCo2
_space_group_name_H-M_alt 'P 4/m m m'
_space_group_IT_number 123
_space_group_name_Hall '-P 4 2'
_cell_length_a 4.272
_cell_length_b 4.272
_cell_length_c 7.557
_cell_angle_alpha 90.00
_cell_angle_beta 90.00
_cell_angle_gamma 90.00
loop_
_atom_site_label
_atom_site_type_symbol
_atom_site_fract_x
_atom_site_fract_y
_atom_site_fract_z
_atom_site_occupancy
K1 K 0.000 0.000 0.000 1
Ba1 Ba 0.000 0.000 0.500 1
Co1 Co 0.500 0.500 0.358 1
```

***

Record 2
The following is a PBE calculation of a relaxed structure of Ho2HfNi9, from Alexandria.

Calculated values
DFT formation energy, eV per atom: -0.396
Mass density, g cm⁻³: 10.33
Volume, Å³ per cell: 333.2
Final energy, eV/atom: -6.3242

```
data_Ho2HfNi9
_space_group_name_H-M_alt 'P 63/m m c'
_space_group_IT_number 194
_space_group_name_Hall '-P 6c 2c'
_cell_length_a 4.8698
_cell_length_b 4.8698
_cell_length_c 16.2234
_cell_angle_alpha 90.00
_cell_angle_beta 90.00
_cell_angle_gamma 120.00
loop_
_atom_site_label
_atom_site_type_symbol
_atom_site_fract_x
_atom_site_fract_y
_atom_site_fract_z
_atom_site_occupancy
Ho1 Ho 0.3333 0.6667 0.0439 1
Hf1 Hf 0.3333 0.6667 0.2500 1
Ni1 Ni 0.0000 0.0000 0.0000 1
Ni2 Ni 0.0000 0.0000 0.2500 1
Ni3 Ni 0.1669 0.3338 0.6283 1
Ni4 Ni 0.3333 0.6667 0.7500 1
```

***

Record 3
The following is a PBE calculation of a relaxed structure of LiIn3Au3, from Alexandria.

Calculated values
Energy above the lowest structure with this stoichiometry, meV/atom: 298
DFT formation energy, eV per atom: 0.046
Mass density, g cm⁻³: 6.97
Volume, Å³ per cell: 449.0
Final energy, eV/atom: -2.8061

```
data_LiIn3Au3
_space_group_name_H-M_alt 'P m -3 n'
_space_group_IT_number 223
_space_group_name_Hall '-P 4n 2 3'
_cell_length_a 7.658
_cell_length_b 7.658
_cell_length_c 7.658
_cell_angle_alpha 90.00
_cell_angle_beta 90.00
_cell_angle_gamma 90.00
loop_
_atom_site_label
_atom_site_type_symbol
_atom_site_fract_x
_atom_site_fract_y
_atom_site_fract_z
_atom_site_occupancy
Li1 Li 0.000 0.000 0.000 1
In1 In 0.000 0.250 0.500 1
Au1 Au 0.000 0.500 0.250 1
```

***

Record 4
The following is a PBE calculation of a relaxed structure of Li2SnRuN, from Alexandria.

Calculated values
Formation energy from raw total energies, meV per atom: -318
Mass density, g cm⁻³: 6.07
Volume, Å³ per cell: 67.8
Final energy, eV/atom: -5.4042

```
data_Li2SnRuN
_space_group_name_H-M_alt 'P 4/m m m'
_space_group_IT_number 123
_space_group_name_Hall '-P 4 2'
_cell_length_a 4.212
_cell_length_b 4.212
_cell_length_c 3.821
_cell_angle_alpha 90.00
_cell_angle_beta 90.00
_cell_angle_gamma 90.00
loop_
_atom_site_label
_atom_site_type_symbol
_atom_site_fract_x
_atom_site_fract_y
_atom_site_fract_z
_atom_site_occupancy
Li1 Li 0.000 0.500 0.000 1
Sn1 Sn 0.000 0.000 0.500 1
Ru1 Ru 0.500 0.500 0.500 1
N1 N 0.500 0.500 0.000 1
```

***

Record 5
The following is a PBE calculation of a relaxed structure of PrEr15Tm4, from Alexandria.

Calculated values
DFT formation energy, eV per atom: 0.025
Mass density, g cm⁻³: 9.02
Volume, Å³ per cell: 612.5
Final energy, eV/atom: -4.5304

```
data_PrEr15Tm4
_space_group_name_H-M_alt 'P 4/m m m'
_space_group_IT_number 123
_space_group_name_Hall '-P 4 2'
_cell_length_a 4.966
_cell_length_b 4.966
_cell_length_c 24.833
_cell_angle_alpha 90.00
_cell_angle_beta 90.00
_cell_angle_gamma 90.00
loop_
_atom_site_label
_atom_site_type_symbol
_atom_site_fract_x
_atom_site_fract_y
_atom_site_fract_z
_atom_site_occupancy
Pr1 Pr 0.000 0.000 0.000 1
Er1 Er 0.000 0.500 0.103 1
Er2 Er 0.000 0.500 0.301 1
Er3 Er 0.000 0.500 0.500 1
Er4 Er 0.500 0.500 0.000 1
Er5 Er 0.500 0.500 0.203 1
Er6 Er 0.500 0.500 0.401 1
Tm1 Tm 0.000 0.000 0.202 1
Tm2 Tm 0.000 0.000 0.401 1
```

***

Record 6
The following is a PBE calculation of a relaxed structure of Ba2NiIrPb, from Alexandria.

Calculated values
Energy above the lowest structure with this stoichiometry, meV/atom: 83
DFT formation energy, eV per atom: 0.339
Mass density, g cm⁻³: 7.72
Volume, Å³ per cell: 157.5
Final energy, eV/atom: -4.1005

```
data_Ba2NiIrPb
_space_group_name_H-M_alt 'P 4/m m m'
_space_group_IT_number 123
_space_group_name_Hall '-P 4 2'
_cell_length_a 5.682
_cell_length_b 5.682
_cell_length_c 4.879
_cell_angle_alpha 90.00
_cell_angle_beta 90.00
_cell_angle_gamma 90.00
loop_
_atom_site_label
_atom_site_type_symbol
_atom_site_fract_x
_atom_site_fract_y
_atom_site_fract_z
_atom_site_occupancy
Ba1 Ba 0.000 0.500 0.000 1
Ni1 Ni 0.000 0.000 0.000 1
Ir1 Ir 0.500 0.500 0.500 1
Pb1 Pb 0.000 0.000 0.500 1
```

***

Record 7
The following is a PBE calculation of a relaxed structure of K2ZnRu, from Alexandria.

Calculated values
DFT formation energy, eV per atom: 0.826
Mass density, g cm⁻³: 2.27
Volume, Å³ per cell: 715.3
Final energy, eV/atom: -2.3605

```
data_K2ZnRu
_space_group_name_H-M_alt 'I -4 2 d'
_space_group_IT_number 122
_space_group_name_Hall 'I -4 2bw'
_cell_length_a 12.111
_cell_length_b 12.111
_cell_length_c 4.877
_cell_angle_alpha 90.00
_cell_angle_beta 90.00
_cell_angle_gamma 90.00
loop_
_atom_site_label
_atom_site_type_symbol
_atom_site_fract_x
_atom_site_fract_y
_atom_site_fract_z
_atom_site_occupancy
K1 K 0.059 0.250 0.125 1
Zn1 Zn 0.000 0.000 0.500 1
Ru1 Ru 0.000 0.000 0.000 1
```

***

Record 8
The following is a PBE calculation of a relaxed structure of Si3PbS, from Alexandria.

Calculated values
Formation energy from raw total energies, meV per atom: 1686
Energy above the lowest structure with this stoichiometry, meV/atom: 989
Mass density, g cm⁻³: 3.55
Volume, Å³ per cell: 151.5
Final energy, eV/atom: -3.1350

```
data_Si3PbS
_space_group_name_H-M_alt 'P m -3 m'
_space_group_IT_number 221
_space_group_name_Hall '-P 4 2 3'
_cell_length_a 5.331
_cell_length_b 5.331
_cell_length_c 5.331
_cell_angle_alpha 90.00
_cell_angle_beta 90.00
_cell_angle_gamma 90.00
loop_
_atom_site_label
_atom_site_type_symbol
_atom_site_fract_x
_atom_site_fract_y
_atom_site_fract_z
_atom_site_occupancy
Si1 Si 0.000 0.000 0.500 1
Pb1 Pb 0.000 0.000 0.000 1
S1 S 0.500 0.500 0.500 1
```